YTc2P: optimized geometry, PBE.

Cell lengths 8.9198, 3.1673, 5.1437 Å; angles 90.00, 109.58, 90.00 degrees
Last column: nearest neighbours and their distance in Å.
Space group C2/m (No. 12)
Asymmetric unit:
Y 0.0000 0.0000 0.0000 x2  6 Tc 2.90-3.00, 4 P 3.02, 2 Y 3.17
Tc 0.2124 0.0000 0.6784 x4  2 P 2.40, 2 Tc 2.67
P 0.0000 0.5000 0.5000 x2  4 Tc 2.40

## Properties
Magnetization = 0.00 μB/atom
E = -8.3600 eV/atom
Formation energy from the elements = -0.21 eV per atom



Cs2ReBiF6: optimized geometry, PBE.

Cell lengths 6.4637, 6.4637, 11.6033 Å; angles 90.00, 90.00, 90.00 degrees
Last column: nearest neighbours and their distance in Å.
Space group I4/mmm (No. 139)
Asymmetric unit:
Cs 0.0000 0.5000 0.2500 x4  12 F 3.36-3.70
Re 0.0000 0.0000 0.0000 x2  6 F 2.00-2.03
Bi 0.0000 0.0000 0.5000 x2  4 F 2.54
F 0.0000 0.0000 0.1720 x4  1 Re 2.00
F 0.2222 0.2222 0.0000 x8  1 Re 2.03

## Properties
Magnetization = 0.34 μB/atom
Raw formation energy = -1.909 eV/atom
E = -4.8351 eV/atom



ErAl3ZnAg: optimized geometry, PBE.

Cell lengths 5.9091, 12.8106, 6.2271 Å; angles 90.00, 90.00, 90.00 degrees
Last column: nearest neighbours and their distance in Å.
Space group Cmcm (No. 63)
Asymmetric unit:
Er 0.0000 0.1892 0.2500 x4  1 Zn 2.75, 2 Al 3.05
Al 0.0000 0.3714 0.7500 x4  1 Ag 2.70, 4 Al 2.81, 1 Zn 2.88
Al 0.2199 0.0000 0.0000 x8  2 Zn 2.59, 3 Al 2.60-2.81, 2 Ag 2.89
Zn 0.0000 0.4035 0.2500 x4  5 Al 2.59-2.88, 1 Er 2.75
Ag 0.0000 0.1608 0.7500 x4  5 Al 2.70-2.89

## Properties
Magnetization = 0.00 μB/atom
E = -3.3792 eV/atom
Formation energy from the elements = -0.06 eV per atom



BaIn2Fe: optimized geometry, PBE.

Cell lengths 8.1347, 4.6467, 6.9057 Å; angles 90.00, 113.08, 90.00 degrees
Last column: nearest neighbours and their distance in Å.
Space group Cm (No. 8)
Asymmetric unit:
Ba 0.0000 0.0000 0.0000 x2  1 Fe 3.47, 7 In 3.62-3.88
In 0.2015 0.0000 0.6105 x2  3 Fe 2.86-2.89, 3 In 3.06-3.08
In 0.4583 0.0000 0.3804 x2  3 Fe 2.73-2.75
Fe 0.3157 0.5000 0.4546 x2  6 In 2.73-2.89

## Properties
Magnetization = 0.70 μB/atom
E = -3.9165 eV/atom
Formation energy from the elements = 0.05 eV per atom



Cu3SnBi: optimized geometry, PBE.

Cell lengths 4.8561, 4.8561, 4.8561 Å; angles 90.00, 90.00, 90.00 degrees
Last column: nearest neighbours and their distance in Å.
Space group Pm-3m (No. 221)
Asymmetric unit:
Cu 0.0000 0.0000 0.5000 x3  2 Sn 2.43
Sn 0.0000 0.0000 0.0000 x1  6 Cu 2.43
Bi 0.5000 0.5000 0.5000 x1  12 Cu 3.43

## Properties
Magnetization = 0.00 μB/atom
E = -3.3618 eV/atom
Formation energy from the elements = 0.67 eV per atom



PrCuO3: optimized geometry, PBE.

Cell lengths 3.8507, 3.8507, 3.8507 Å; angles 90.00, 90.00, 90.00 degrees
Last column: nearest neighbours and their distance in Å.
Space group Pm-3m (No. 221)
Asymmetric unit:
Pr 0.0000 0.0000 0.0000 x1  12 O 2.72
Cu 0.5000 0.5000 0.5000 x1  6 O 1.93
O 0.0000 0.5000 0.5000 x3  2 Cu 1.93

## Properties
Magnetization = 0.00 μB/atom
Raw formation energy = -1.890 eV/atom
E = -6.6396 eV/atom



La2AlCl: optimized geometry, PBE.

Cell lengths 7.6317, 7.6317, 7.6317 Å; angles 90.00, 90.00, 90.00 degrees
Last column: nearest neighbours and their distance in Å.
Space group Fm-3m (No. 225)
Asymmetric unit:
La 0.2500 0.2500 0.2500 x8  4 Cl 3.30, 4 Al 3.30
Al 0.0000 0.0000 0.0000 x4  8 La 3.30
Cl 0.0000 0.0000 0.5000 x4  8 La 3.30

## Properties
Magnetization = 0.00 μB/atom
Raw formation energy = -0.718 eV/atom
E = -4.5794 eV/atom



AsIr2Rh: optimized geometry, PBE.

Cell lengths 2.8480, 2.8480, 7.3128 Å; angles 90.00, 90.00, 90.00 degrees
Last column: nearest neighbours and their distance in Å.
Space group P4mm (No. 99)
Asymmetric unit:
As 0.0000 0.0000 0.0000 x1  4 Rh 2.67, 4 Ir 2.70, 4 As 2.85
Ir 0.0000 0.0000 0.5005 x1  8 Ir 2.74-2.85, 4 Rh 2.77
Ir 0.5000 0.5000 0.2462 x1  4 As 2.70, 8 Ir 2.74-2.85
Rh 0.5000 0.5000 0.7596 x1  4 As 2.67, 4 Ir 2.77, 4 Rh 2.85

## Properties
Magnetization = 0.00 μB/atom
E = -7.3031 eV/atom
Formation energy from the elements = 0.13 eV per atom



Sr2AlSe: optimized geometry, PBE.

Cell lengths 7.8245, 7.8245, 7.8245 Å; angles 90.00, 90.00, 90.00 degrees
Last column: nearest neighbours and their distance in Å.
Space group F-43m (No. 216)
Asymmetric unit:
Sr 0.0000 0.0000 0.0000 x4  4 Al 3.39, 4 Sr 3.39
Sr 0.2500 0.2500 0.2500 x4  4 Se 3.39, 4 Sr 3.39
Al 0.2500 0.2500 0.7500 x4  4 Se 3.39, 4 Sr 3.39
Se 0.0000 0.0000 0.5000 x4  4 Sr 3.39, 4 Al 3.39

## Properties
Magnetization = 0.00 μB/atom
Raw formation energy = -0.134 eV/atom
E = -2.7821 eV/atom



Dy12Ni6Ag: optimized geometry, PBE.

Cell lengths 13.6606, 13.6606, 8.7185 Å; angles 90.00, 90.00, 120.00 degrees
Last column: nearest neighbours and their distance in Å.
Space group R-3 (No. 148, hexagonal axes)
Asymmetric unit:
Dy 0.0388 0.2554 0.4278 x18  3 Ni 2.68-2.79
Dy 0.0592 0.1790 0.8311 x18  3 Ni 2.69-2.88
Ni 0.0727 0.5002 0.7858 x18  6 Dy 2.68-2.88
Ag 0.0000 0.0000 0.5000 x3  12 Dy 3.32-3.60

## Properties
Magnetization = 0.00 μB/atom
E = -5.0765 eV/atom
Formation energy from the elements = -0.19 eV per atom



Pm2DyTh3S6: optimized geometry, PBE.

Cell lengths 17.6319, 4.0068, 8.0526 Å; angles 90.00, 104.87, 90.00 degrees
Last column: nearest neighbours and their distance in Å.
Space group C2/m (No. 12)
Asymmetric unit:
Pm 0.1663 0.0000 0.3329 x4  6 S 2.83-2.84
Dy 0.0000 0.5000 0.0000 x2  6 S 2.77-2.78
Th 0.0000 0.5000 0.5000 x2  6 S 2.86-2.90
Th 0.1680 0.0000 0.8337 x4  6 S 2.85-2.89
S 0.9998 0.0000 0.2400 x4  2 Dy 2.78, 1 Pm 2.84, 3 Th 2.86-2.90
S 0.1624 0.5000 0.0831 x4  1 Dy 2.77, 2 Pm 2.83, 3 Th 2.86-2.89
S 0.1678 0.5000 0.5813 x4  3 Pm 2.83, 3 Th 2.85-2.86

## Properties
Magnetization = 0.00 μB/atom
Raw formation energy = -1.912 eV/atom
E = -7.0059 eV/atom



TiBr3: optimized geometry, PBE.

Cell lengths 3.5170, 3.5170, 31.4089 Å; angles 90.00, 90.00, 120.00 degrees
Last column: nearest neighbours and their distance in Å.
Space group R-3m (No. 166, hexagonal axes)
Asymmetric unit:
Ti 0.0000 0.0000 0.0000 x3  6 Br 2.62
Br 0.0000 0.0000 0.3860 x6  3 Ti 2.62
Br 0.0000 0.0000 0.5000 x3  8 Br 3.52-3.58

## Properties
Magnetization = 0.28 μB/atom
Raw formation energy = -0.682 eV/atom
E = -3.9102 eV/atom



Sr2SmInAu6: optimized geometry, PBE.

Cell lengths 10.8853, 10.8853, 10.8853 Å; angles 90.00, 90.00, 90.00 degrees
Last column: nearest neighbours and their distance in Å.
Space group Fm-3m (No. 225)
Asymmetric unit:
Sr 0.2500 0.2500 0.2500 x8  12 Au 3.85
Sm 0.0000 0.0000 0.0000 x4  6 Au 2.78
In 0.0000 0.0000 0.5000 x4  6 Au 2.66
Au 0.0000 0.0000 0.2558 x24  1 In 2.66, 1 Sm 2.78

## Properties
Magnetization = 0.00 μB/atom
E = -3.2681 eV/atom
Formation energy from the elements = -0.22 eV per atom



HoPa2Ga: optimized geometry, PBE.

Cell lengths 3.1590, 3.1590, 34.1761 Å; angles 90.00, 90.00, 120.00 degrees
Last column: nearest neighbours and their distance in Å.
Space group R-3m (No. 166, hexagonal axes)
Asymmetric unit:
Ho 0.0000 0.0000 0.0000 x3  2 Pa 3.15, 6 Ho 3.16
Pa 0.0000 0.0000 0.0922 x6  3 Ga 3.13, 1 Ho 3.15, 6 Pa 3.16
Ga 0.0000 0.0000 0.5000 x3  6 Pa 3.13, 6 Ga 3.16

## Properties
Magnetization = 0.00 μB/atom
E = -6.4921 eV/atom
Formation energy from the elements = 0.16 eV per atom



Tb6Ho3Tm2Pu: optimized geometry, PBE.

Cell lengths 6.1095, 10.5808, 11.6451 Å; angles 90.00, 100.09, 90.00 degrees
Last column: nearest neighbours and their distance in Å.
Space group C2/m (No. 12)
Asymmetric unit:
Tb 0.2474 0.1650 0.2476 x8  1 Pu 3.48, 6 Tb 3.49-3.55, 2 Tm 3.50, 3 Ho 3.53-3.55
Tb 0.2476 0.0000 0.7525 x4  1 Pu 3.48, 6 Tb 3.49-3.54, 2 Tm 3.50, 3 Ho 3.54-3.55
Ho 0.0000 0.1672 0.5000 x4  6 Ho 3.52-3.54, 6 Tb 3.53-3.55
Ho 0.0000 0.5000 0.5000 x2  6 Ho 3.52-3.53, 6 Tb 3.53-3.55
Tm 0.0000 0.3335 0.0000 x4  6 Tb 3.50, 3 Tm 3.52-3.53, 3 Pu 3.53
Pu 0.0000 0.0000 0.0000 x2  6 Tb 3.48, 6 Tm 3.53

## Properties
Magnetization = 0.55 μB/atom
E = -5.3573 eV/atom
Formation energy from the elements = 0.04 eV per atom



HfTlSbTe2: optimized geometry, PBE.

Cell lengths 5.6113, 5.6113, 5.5985 Å; angles 90.00, 90.00, 90.00 degrees
Last column: nearest neighbours and their distance in Å.
Space group P4/mmm (No. 123)
Asymmetric unit:
Hf 0.0000 0.0000 0.0000 x1  2 Sb 2.80, 4 Te 2.81
Tl 0.5000 0.5000 0.5000 x1  8 Te 3.96, 4 Sb 3.97
Sb 0.0000 0.0000 0.5000 x1  2 Hf 2.80
Te 0.0000 0.5000 0.0000 x2  2 Hf 2.81

## Properties
Magnetization = 0.00 μB/atom
Raw formation energy = -0.188 eV/atom
E = -4.7334 eV/atom



In2Au2Br: optimized geometry, PBE.

Cell lengths 3.9268, 3.9268, 17.1655 Å; angles 90.00, 90.00, 90.00 degrees
Last column: nearest neighbours and their distance in Å.
Space group I4/mmm (No. 139)
Asymmetric unit:
In 0.0000 0.0000 0.1093 x4  4 Au 3.11, 4 Br 3.35
Au 0.0000 0.5000 0.2500 x4  4 Au 2.78
Br 0.0000 0.0000 0.5000 x2  8 In 3.35

## Properties
Magnetization = 0.00 μB/atom
Raw formation energy = -0.202 eV/atom
E = -2.9433 eV/atom



ThZnGe2Ir5: optimized geometry, PBE.

Cell lengths 3.9751, 3.9751, 11.0464 Å; angles 90.00, 90.00, 90.00 degrees
Last column: nearest neighbours and their distance in Å.
Space group P4/mmm (No. 123)
Asymmetric unit:
Th 0.0000 0.0000 0.0000 x1  4 Ir 2.81
Zn 0.0000 0.0000 0.5000 x1  8 Ir 2.59
Ge 0.5000 0.5000 0.2212 x2  5 Ir 2.44-2.45
Ir 0.0000 0.5000 0.3502 x4  2 Ge 2.45, 2 Zn 2.59
Ir 0.5000 0.5000 0.0000 x1  2 Ge 2.44

## Properties
Magnetization = 0.00 μB/atom
E = -7.0271 eV/atom
Formation energy from the elements = -0.11 eV per atom



PrTe2O8: optimized geometry, PBE.

Cell lengths 9.6573, 6.2621, 5.5721 Å; angles 90.00, 99.80, 90.00 degrees
Last column: nearest neighbours and their distance in Å.
Space group C2/m (No. 12)
Asymmetric unit:
Pr 0.0000 0.0000 0.0000 x2  6 O 2.28-2.49
Te 0.2236 0.5000 0.4640 x4  4 O 1.85-2.00
O 0.0859 0.5000 0.6697 x4  1 Te 1.90
O 0.1453 0.2034 0.3346 x8  2 Te 2.00-2.09
O 0.1904 0.0000 0.8081 x4  1 Te 1.85

## Properties
Magnetization = 0.09 μB/atom
Raw formation energy = -1.217 eV/atom
E = -5.8291 eV/atom



CaPtRhO6: optimized geometry, PBE.

Cell lengths 5.2605, 5.2605, 9.9843 Å; angles 90.00, 90.00, 120.00 degrees
Last column: nearest neighbours and their distance in Å.
Space group P-31c (No. 163)
Asymmetric unit:
Ca 0.0000 0.0000 0.0000 x2  6 O 2.39
Pt 0.3333 0.6667 0.2500 x2  6 O 2.00
Rh 0.3333 0.6667 0.7500 x2  6 O 1.98
O 0.0027 0.3677 0.6421 x12  1 Rh 1.98, 1 Pt 2.00

## Properties
Magnetization = 0.33 μB/atom
Raw formation energy = -1.084 eV/atom
E = -6.1003 eV/atom



SiAs2F: optimized geometry, PBE.

Cell lengths 5.8991, 5.8991, 10.0628 Å; angles 90.00, 90.00, 90.00 degrees
Last column: nearest neighbours and their distance in Å.
Space group I-42d (No. 122)
Asymmetric unit:
Si 0.0000 0.0000 0.0000 x4  4 As 2.43
As 0.2485 0.2500 0.1250 x8  2 Si 2.43, 2 F 2.44
F 0.0000 0.0000 0.5000 x4  4 As 2.44

## Properties
Magnetization = 0.00 μB/atom
Raw formation energy = -0.100 eV/atom
E = -4.2487 eV/atom



ZnSbIr2: optimized geometry, PBE.

Cell lengths 2.9875, 4.4087, 5.0817 Å; angles 90.00, 90.26, 90.00 degrees
Last column: nearest neighbours and their distance in Å.
Space group P2/m (No. 10)
Asymmetric unit:
Zn 0.0000 0.0000 0.0000 x1  4 Ir 2.62
Sb 0.5000 0.0000 0.5000 x1  4 Ir 2.68, 4 Zn 2.94-2.95, 2 Sb 2.99
Ir 0.2544 0.5000 0.2379 x2  2 Zn 2.62, 2 Sb 2.68, 2 Ir 2.83-2.85

## Properties
Magnetization = 0.00 μB/atom
Raw formation energy = 0.212 eV/atom
E = -5.5679 eV/atom



PmHfZn4: optimized geometry, PBE.

Cell lengths 3.2456, 4.4565, 7.8179 Å; angles 90.00, 90.00, 90.00 degrees
Last column: nearest neighbours and their distance in Å.
Space group Pmmm (No. 47)
Asymmetric unit:
Pm 0.0000 0.0000 0.0000 x1  12 Zn 3.11-3.14, 2 Pm 3.25
Hf 0.0000 0.5000 0.5000 x1  12 Zn 2.96-3.01, 2 Hf 3.25
Zn 0.5000 0.0000 0.3443 x2  3 Zn 2.43-2.56
Zn 0.5000 0.5000 0.1839 x2  2 Zn 2.56

## Properties
Magnetization = 0.00 μB/atom
E = -3.5516 eV/atom
Formation energy from the elements = -0.25 eV per atom



ReNi6Pt: optimized geometry, PBE.

Cell lengths 7.2520, 10.2629, 10.3085 Å; angles 90.00, 90.00, 90.00 degrees
Last column: nearest neighbours and their distance in Å.
Space group Cmmm (No. 65)
Asymmetric unit:
Re 0.0000 0.0000 0.2439 x4  12 Ni 2.48-2.64
Re 0.0000 0.2487 0.5000 x4  12 Ni 2.51-2.58
Ni 0.0000 0.0000 0.0000 x2  2 Re 2.51, 8 Ni 2.54, 2 Pt 2.60
Ni 0.0000 0.0000 0.5000 x2  8 Ni 2.53, 4 Re 2.55-2.64
Ni 0.0000 0.2461 0.2568 x8  8 Ni 2.50-2.65, 2 Re 2.51-2.53, 2 Pt 2.61-2.65
Ni 0.0000 0.5000 0.0000 x2  4 Pt 2.53-2.57, 8 Ni 2.61
Ni 0.0000 0.5000 0.5000 x2  2 Re 2.58, 8 Ni 2.58, 2 Pt 2.58
Ni 0.2433 0.1235 0.1285 x16  1 Re 2.48, 8 Ni 2.54-2.65, 3 Pt 2.57-2.61
Ni 0.2454 0.1266 0.3786 x16  8 Ni 2.50-2.60, 3 Re 2.51-2.60, 1 Pt 2.62
Pt 0.0000 0.2534 0.0000 x4  12 Ni 2.53-2.65
Pt 0.0000 0.5000 0.2493 x4  12 Ni 2.57-2.62

## Properties
Magnetization = 0.00 μB/atom
E = -6.6451 eV/atom
Formation energy from the elements = 0.00 eV per atom